# 1
RbBiSN2 | GGA-PBE | relaxed

a b c (Å): 4.7315 4.7315 5.4376
angles (deg): 90.00 90.00 90.00
Space group P4/mmm (No. 123)
Inequivalent atoms, fractional coordinates:
Rb: 0.0000 0.0000 0.0000 (multiplicity 1)
Bi: 0.5000 0.5000 0.5000 (multiplicity 1)
S: 0.5000 0.5000 0.0000 (multiplicity 1)
N: 0.0000 0.5000 0.5000 (multiplicity 2)

Output
**E_form (uncorrected)**: 4.85 eV per formula unit
**Energy above the most stable polymorph in this dataset**: 0.000 eV/atom

# 2
Zr3Zn2Ni3 | GGA-PBE | relaxed

a b c (Å): 7.6282 7.6282 5.1144
angles (deg): 90.00 90.00 120.00
Space group P6_3/mcm (No. 193)
Inequivalent atoms, fractional coordinates:
Zr: 0.0000 0.2620 0.2500 (multiplicity 6)
Zn: 0.3333 0.6667 0.0000 (multiplicity 4)
Ni: 0.0000 0.3955 0.7500 (multiplicity 6)

Output
**Energy of formation**: -391 meV/atom

# 3
NaMn3Au | GGA-PBE | relaxed

a b c (Å): 4.6431 4.6431 4.6431
angles (deg): 90.00 90.00 90.00
Space group Pm-3m (No. 221)
Inequivalent atoms, fractional coordinates:
Na: 0.0000 0.0000 0.0000 (multiplicity 1)
Mn: 0.0000 0.0000 0.5000 (multiplicity 3)
Au: 0.5000 0.5000 0.5000 (multiplicity 1)

Output
**Energy of formation**: 1617 meV/atom
**Energy above the most stable polymorph in this dataset**: 0.827 eV/atom

# 4
CoNi5Pt6 | GGA-PBE | relaxed

a b c (Å): 3.8401 11.5126 7.3202
angles (deg): 90.00 90.00 90.00
Space group Cmmm (No. 65)
Inequivalent atoms, fractional coordinates:
Co: 0.0000 0.0000 0.0000 (multiplicity 2)
Ni: 0.0000 0.0000 0.5000 (multiplicity 2)
Ni: 0.0000 0.3354 0.0000 (multiplicity 4)
Ni: 0.0000 0.3348 0.5000 (multiplicity 4)
Pt: 0.0000 0.1668 0.2498 (multiplicity 8)
Pt: 0.0000 0.5000 0.2487 (multiplicity 4)

Output
**Energy of formation**: -104 meV/atom

# 5
AcHoCd3 | GGA-PBE | relaxed

a b c (Å): 3.7255 30.0212 5.0739
angles (deg): 90.00 90.00 90.00
Space group Cmcm (No. 63)
Inequivalent atoms, fractional coordinates:
Ac: 0.0000 0.0770 0.2500 (multiplicity 4)
Ho: 0.0000 0.2142 0.7500 (multiplicity 4)
Cd: 0.0000 0.3183 0.7500 (multiplicity 4)
Cd: 0.0000 0.3733 0.2500 (multiplicity 4)
Cd: 0.0000 0.4753 0.2500 (multiplicity 4)

Output
**Energy of formation**: -292 meV/atom

# 6
Pm2Co2Ni | GGA-PBE | relaxed

a b c (Å): 4.1603 5.1580 8.5280
angles (deg): 90.00 90.00 90.00
Space group Immm (No. 71)
Inequivalent atoms, fractional coordinates:
Pm: 0.0000 0.0000 0.1927 (multiplicity 4)
Co: 0.0000 0.2371 0.5000 (multiplicity 4)
Ni: 0.0000 0.5000 0.0000 (multiplicity 2)

Output
**Energy of formation**: -143 meV/atom
**Energy above the most stable polymorph in this dataset**: 0.000 eV/atom

# 7
Ca3Al3Zn2 | GGA-PBE | relaxed

a b c (Å): 8.1633 15.7202 5.8786
angles (deg): 90.00 90.00 90.00
Space group Pnma (No. 62)
Inequivalent atoms, fractional coordinates:
Ca: 0.0375 0.1102 0.1189 (multiplicity 8)
Ca: 0.1824 0.2500 0.6151 (multiplicity 4)
Al: 0.1694 0.7500 0.6084 (multiplicity 4)
Al: 0.1837 0.0346 0.6136 (multiplicity 8)
Zn: 0.1083 0.6070 0.3888 (multiplicity 8)

Output
**Energy of formation**: -240 meV/atom

# 8
NdGa2Ge | GGA-PBE | relaxed

a b c (Å): 4.0597 11.4358 7.5890
angles (deg): 90.00 90.00 90.00
Space group Cmcm (No. 63)
Inequivalent atoms, fractional coordinates:
Nd: 0.0000 0.1090 0.2500 (multiplicity 4)
Ga: 0.0000 0.3980 0.0671 (multiplicity 8)
Ge: 0.0000 0.1842 0.7500 (multiplicity 4)

Output
**Energy of formation**: -425 meV/atom
**Energy above the most stable polymorph in this dataset**: 0.077 eV/atom

# 9
Tl3CoCl6 | GGA-PBE | relaxed

a b c (Å): 11.5026 11.5026 14.8803
angles (deg): 90.00 90.00 120.00
Space group R-3 (No. 148, hexagonal axes)
Inequivalent atoms, fractional coordinates:
Tl: 0.0680 0.4801 0.3917 (multiplicity 18)
Co: 0.0000 0.0000 0.0000 (multiplicity 3)
Co: 0.0000 0.0000 0.5000 (multiplicity 3)
Cl: 0.0653 0.1847 0.4113 (multiplicity 18)
Cl: 0.0840 0.8989 0.0890 (multiplicity 18)

Output
**E_form (uncorrected)**: -8.18 eV per formula unit
**Energy above the most stable polymorph in this dataset**: 0.016 eV/atom

# 10
Sc2InRu | GGA-PBE | relaxed

a b c (Å): 3.2358 3.2358 27.8127
angles (deg): 90.00 90.00 120.00
Space group R3m (No. 160, hexagonal axes)
Inequivalent atoms, fractional coordinates:
Sc: 0.0000 0.0000 0.0000 (multiplicity 3)
Sc: 0.0000 0.0000 0.2326 (multiplicity 3)
In: 0.0000 0.0000 0.4755 (multiplicity 3)
Ru: 0.0000 0.0000 0.7339 (multiplicity 3)

Output
**Energy of formation**: -35 meV/atom

# 11
TlAsF3 | GGA-PBE | relaxed

a b c (Å): 4.4730 4.4730 4.4730
angles (deg): 90.00 90.00 90.00
Space group Pm-3m (No. 221)
Inequivalent atoms, fractional coordinates:
Tl: 0.0000 0.0000 0.0000 (multiplicity 1)
As: 0.5000 0.5000 0.5000 (multiplicity 1)
F: 0.0000 0.5000 0.5000 (multiplicity 3)

Output
**E_form (uncorrected)**: -7.40 eV per formula unit
**Energy above the most stable polymorph in this dataset**: 0.195 eV/atom

# 12
ReNiRu2 | GGA-PBE | relaxed

a b c (Å): 5.4612 5.4612 10.4857
angles (deg): 90.00 90.00 90.00
Space group I-42d (No. 122)
Inequivalent atoms, fractional coordinates:
Re: 0.0000 0.0000 0.0000 (multiplicity 4)
Ni: 0.0000 0.0000 0.5000 (multiplicity 4)
Ru: 0.2347 0.2500 0.6250 (multiplicity 8)

Output
**Energy of formation**: 1197 meV/atom
**Energy above the most stable polymorph in this dataset**: 1.137 eV/atom

# 13
KScF4 | GGA-PBE | relaxed

a b c (Å): 4.1266 16.8274 6.0724
angles (deg): 90.00 90.00 90.00
Space group Cmcm (No. 63)
Inequivalent atoms, fractional coordinates:
K: 0.0000 0.1885 0.2500 (multiplicity 4)
Sc: 0.0000 0.4162 0.2500 (multiplicity 4)
F: 0.0000 0.0808 0.7500 (multiplicity 4)
F: 0.0000 0.3310 0.0228 (multiplicity 8)
F: 0.0000 0.5000 0.0000 (multiplicity 4)

Output
**E_form (uncorrected)**: -21.85 eV per formula unit
**Energy above the most stable polymorph in this dataset**: 0.000 eV/atom

# 14
LiBi3N | GGA-PBE | relaxed

a b c (Å): 4.9779 4.9779 4.9779
angles (deg): 90.00 90.00 90.00
Space group Pm-3m (No. 221)
Inequivalent atoms, fractional coordinates:
Li: 0.0000 0.0000 0.0000 (multiplicity 1)
Bi: 0.0000 0.5000 0.5000 (multiplicity 3)
N: 0.5000 0.5000 0.5000 (multiplicity 1)

Output
**E_form (uncorrected)**: 1.86 eV per formula unit
**Energy above the most stable polymorph in this dataset**: 0.000 eV/atom

# 15
Cu2AsSe | GGA-PBE | relaxed

a b c (Å): 2.9874 2.9874 7.1847
angles (deg): 90.00 90.00 90.00
Space group P4/mmm (No. 123)
Inequivalent atoms, fractional coordinates:
Cu: 0.0000 0.0000 0.2404 (multiplicity 2)
As: 0.5000 0.5000 0.0000 (multiplicity 1)
Se: 0.5000 0.5000 0.5000 (multiplicity 1)

Output
**E_form (uncorrected)**: 1.17 eV per formula unit

# 16
Zr2InSbPb | GGA-PBE | relaxed

a b c (Å): 5.4070 5.4070 5.4449
angles (deg): 90.00 90.00 90.00
Space group P4/mmm (No. 123)
Inequivalent atoms, fractional coordinates:
Zr: 0.0000 0.5000 0.0000 (multiplicity 2)
In: 0.0000 0.0000 0.5000 (multiplicity 1)
Sb: 0.0000 0.0000 0.0000 (multiplicity 1)
Pb: 0.5000 0.5000 0.5000 (multiplicity 1)

Output
**E_form (uncorrected)**: 3.16 eV per formula unit

# 17
MnBTeAu | GGA-PBE | relaxed

a b c (Å): 3.5335 3.9701 5.0048
angles (deg): 90.00 90.00 90.00
Space group Pmm2 (No. 25)
Inequivalent atoms, fractional coordinates:
Mn: 0.0000 0.0000 0.0000 (multiplicity 1)
B: 0.0000 0.5000 0.9595 (multiplicity 1)
Te: 0.5000 0.0000 0.6210 (multiplicity 1)
Au: 0.5000 0.5000 0.2303 (multiplicity 1)

Output
**E_form (uncorrected)**: 1.63 eV per formula unit
**Energy above the most stable polymorph in this dataset**: 0.199 eV/atom

# 18
AcGd2Th | GGA-PBE | relaxed

a b c (Å): 3.6164 3.6164 38.1038
angles (deg): 90.00 90.00 120.00
Space group R-3m (No. 166, hexagonal axes)
Inequivalent atoms, fractional coordinates:
Ac: 0.0000 0.0000 0.0000 (multiplicity 3)
Gd: 0.0000 0.0000 0.0940 (multiplicity 6)
Th: 0.0000 0.0000 0.5000 (multiplicity 3)

Output
**Energy of formation**: 149 meV/atom
**Energy above the most stable polymorph in this dataset**: 0.106 eV/atom

# 19
HoScTeP | GGA-PBE | relaxed

a b c (Å): 3.9582 3.9582 20.9434
angles (deg): 90.00 90.00 120.00
Space group R3m (No. 160, hexagonal axes)
Inequivalent atoms, fractional coordinates:
Ho: 0.0000 0.0000 0.0000 (multiplicity 3)
Sc: 0.0000 0.0000 0.8052 (multiplicity 3)
Te: 0.0000 0.0000 0.2314 (multiplicity 3)
P: 0.0000 0.0000 0.4092 (multiplicity 3)

Output
**E_form (uncorrected)**: -5.76 eV per formula unit

# 20
La3DyBi4 | GGA-PBE | relaxed

a b c (Å): 9.2939 13.1483 4.6568
angles (deg): 90.00 90.00 90.00
Space group Cmmm (No. 65)
Inequivalent atoms, fractional coordinates:
La: 0.0000 0.0000 0.0000 (multiplicity 2)
La: 0.2500 0.2500 0.5000 (multiplicity 4)
Dy: 0.0000 0.5000 0.0000 (multiplicity 2)
Bi: 0.0000 0.2543 0.0000 (multiplicity 4)
Bi: 0.2416 0.5000 0.5000 (multiplicity 4)

Output
**Energy of formation**: -999 meV/atom

Number 1: uncorrected energy -4.156 eV per atom. Number 2: uncorrected energy -6.084 eV per atom. Number 3: uncorrected energy -4.804 eV per atom. Number 4: uncorrected energy -6.125 eV per atom. Number 5: uncorrected energy -2.578 eV per atom. Number 6: uncorrected energy -6.042 eV per atom. Number 7: uncorrected energy -2.713 eV per atom. Number 8: uncorrected energy -4.285 eV per atom. Number 9: uncorrected energy -3.346 eV per atom. Number 10: uncorrected energy -6.204 eV per atom. Number 11: uncorrected energy -4.005 eV per atom. Number 12: uncorrected energy -7.998 eV per atom. Number 13: uncorrected energy -6.128 eV per atom. Number 14: uncorrected energy -4.004 eV per atom. Number 15: uncorrected energy -3.788 eV per atom. Number 16: uncorrected energy -4.901 eV per atom. Number 17: uncorrected energy -5.160 eV per atom. Number 18: uncorrected energy -9.774 eV per atom. Number 19: uncorrected energy -6.306 eV per atom. Number 20: uncorrected energy -5.363 eV per atom.